TlAgF3: optimized geometry, PBE.

```
TlAgF3
1.0
-2.8959 -2.5657 4.1599
-0.1251 3.2570 4.6529
-5.1182 2.3816 0.6370
F Ag Tl
6 2 2
Direct
0.5310 0.0058 0.2498
0.9942 0.7502 0.4690
0.7502 0.4690 0.9942
0.2498 0.5310 0.0058
0.0058 0.2498 0.5310
0.4690 0.9942 0.7502
0.1126 0.1126 0.1126
0.8874 0.8874 0.8874
0.6126 0.6126 0.6126
0.3874 0.3874 0.3874
```

Values from the calculation:
Symmetry = No. 148
Magnetic moment = 0.000 μB/atom
Formation energy from raw total energies = -1.46 eV per atom
Total energy = -3.628 eV/atom